# SrGe3Ru

Crystalline SrGe3Ru at its relaxed geometry (PBE-GGA, the Alexandria database).

Properties
Calculated total energy (eV for the cell shown): -53.59
Formation energy from the elements (eV/atom): -0.3966
Crystal system: hexagonal
M_tot (μB/atom): 0.00

```
SrGe3Ru
1.0
6.218 0.000 0.000
-3.109 5.385 0.000
0.000 0.000 5.927
Sr Ge Ru
2 6 2
Cartesian
0.000 3.590 1.482
3.109 1.795 4.445
0.000 2.071 4.445
-1.315 4.349 4.445
1.794 1.036 1.482
1.315 4.349 4.445
4.424 1.036 1.482
3.109 3.313 1.482
0.000 0.000 0.000
0.000 0.000 2.963
```

=====

# Nd2ThPd6

Crystalline Nd2ThPd6 at its relaxed geometry (PBE-GGA, the Alexandria database).

Properties
Calculated total energy (eV for the cell shown): -54.54
Formation energy from the elements (eV/atom): -0.7147
Crystal system: orthorhombic
M_tot (μB/atom): 0.00

```
Nd2ThPd6
1.0
3.743 -7.247 0.000
3.743 7.247 0.000
0.000 0.000 3.637
Nd Th Pd
2 1 6
Cartesian
3.743 4.799 0.000
3.743 -4.799 0.000
3.743 0.000 0.000
2.432 2.405 1.819
1.346 0.000 1.819
2.432 -2.405 1.819
5.054 2.405 1.819
6.141 0.000 1.819
5.054 -2.405 1.819
```

=====

# ScZn2Ru

Crystalline ScZn2Ru at its relaxed geometry (PBE-GGA, the Alexandria database).

Properties
Calculated total energy (eV for the cell shown): -38.39
Formation energy from the elements (eV/atom): -0.2593
Crystal system: orthorhombic
M_tot (μB/atom): 0.00

```
ScZn2Ru
1.0
3.475 0.000 0.000
0.000 4.318 0.000
0.000 0.000 8.346
Sc Zn Ru
2 4 2
Cartesian
0.000 0.000 0.000
1.738 2.159 4.173
0.000 0.000 4.128
0.000 2.159 6.386
1.738 0.000 2.213
1.738 2.159 8.301
0.000 2.159 2.010
1.738 0.000 6.183
```

=====

# Er3Cd2Pb

Crystalline Er3Cd2Pb at its relaxed geometry (PBE-GGA, the Alexandria database).

Properties
Calculated total energy (eV for the cell shown): -42.65
Formation energy from the elements (eV/atom): -0.3500
Crystal system: orthorhombic
M_tot (μB/atom): 0.00

```
Er3Cd2Pb
1.0
5.241 0.000 0.000
0.000 15.843 0.000
0.000 0.000 3.784
Er Cd Pb
6 4 2
Cartesian
0.000 0.000 0.000
0.000 5.261 0.000
0.000 10.582 0.000
2.620 2.660 0.000
2.620 7.921 0.000
2.620 13.183 0.000
0.000 2.755 1.892
0.000 13.088 1.892
2.620 5.167 1.892
2.620 10.676 1.892
0.000 7.921 1.892
2.620 0.000 1.892
```

=====

# HoTaCo2

Crystalline HoTaCo2 at its relaxed geometry (PBE-GGA, the Alexandria database).

Properties
Energy relative to the lowest polymorph listed for this composition (eV per atom): 0.130
Calculated total energy (eV for the cell shown): -30.82
Formation energy from the elements (eV/atom): -0.0457
Crystal system: tetragonal
M_tot (μB/atom): 0.30

```
HoTaCo2
1.0
4.579 0.000 0.000
0.000 4.579 0.000
0.000 0.000 3.046
Ho Ta Co
1 1 2
Cartesian
0.000 0.000 0.000
2.289 2.289 0.000
0.000 2.289 1.523
2.289 0.000 1.523
```

=====

# Li2Ca2Mg3

Crystalline Li2Ca2Mg3 at its relaxed geometry (PBE-GGA, the Alexandria database).

Properties
Calculated total energy (eV for the cell shown): -25.88
Formation energy from the elements (eV/atom): -0.0463
Crystal system: monoclinic
M_tot (μB/atom): 0.00

```
Li2Ca2Mg3
1.0
10.771 0.000 0.000
0.000 4.780 0.000
-3.028 0.000 7.297
Li Ca Mg
4 4 6
Cartesian
0.984 0.000 1.454
1.373 2.390 5.843
6.370 2.390 1.454
6.759 0.000 5.843
-0.874 0.000 5.582
3.231 2.390 1.714
4.512 2.390 5.582
8.617 0.000 1.714
0.000 2.390 0.000
0.084 2.390 3.166
2.273 0.000 4.131
5.386 0.000 0.000
5.470 0.000 3.166
7.659 2.390 4.131
```